(1)
11
Lattice="-2.564 2.564 7.580 2.564 -2.564 7.580 2.564 2.564 -7.580" Properties=species:S:1:pos:R:3 comment="ThMn8Fe2 (PBE, relaxed)" formation_enthalpy_0k_ev_per_atom=0.945 pbc="T T T"
Th 0.000 0.000 0.000
Mn 1.286 1.286 -2.328
Mn 1.278 -1.278 5.252
Mn 1.286 1.286 2.328
Mn 1.278 -1.278 9.908
Mn -1.278 1.278 5.252
Mn 1.278 1.278 5.252
Mn -1.278 1.278 9.908
Mn 1.278 1.278 9.908
Fe 2.564 0.000 3.790
Fe 0.000 2.564 3.790

***

(2)
5
Lattice="4.469 0.000 0.000 0.000 4.469 0.000 0.000 0.000 4.469" Properties=species:S:1:pos:R:3 comment="CaRe3Cl (PBE, relaxed)" e_above_lowest_polymorph_mev_per_atom=0 pbc="T T T"
Ca 0.000 0.000 0.000
Re 0.000 2.234 2.234
Re 2.234 0.000 2.234
Re 2.234 2.234 0.000
Cl 2.234 2.234 2.234

***

Number 1: density of states at the Fermi level 15.9 states/eV/cell. Number 2: density of states at the Fermi level 6.7 states/eV/cell.